# K4La3SmS8 PBE relaxed
# Calculated total energy: -5.463 eV per atom
# Fermi-level density of states: 0.0 states/eV/f.u.
# Crystal system: trigonal
data_K4La3SmS8
_cell_length_a 8.5149
_cell_length_b 8.5149
_cell_length_c 22.1214
_cell_angle_alpha 90.00
_cell_angle_beta 90.00
_cell_angle_gamma 120.00
_space_group_name_H-M_alt 'R -3 m'
_space_group_IT_number 166
_space_group_name_Hall '-R 3 2"'
loop_
_atom_site_label
_atom_site_fract_x
_atom_site_fract_y
_atom_site_fract_z
_atom_site_occupancy
K1 0.0000 0.0000 0.0000 1
K2 0.0000 0.5000 0.0000 1
La1 0.0000 0.5000 0.5000 1
Sm1 0.0000 0.0000 0.5000 1
S1 0.0000 0.0000 0.2362 1
S2 0.0062 0.5031 0.2355 1